A relaxed La2SmHf crystal, computed with PBE-GGA.

Cell lengths 4.0936, 4.0936, 7.5241 Å; angles 90.00, 90.00, 90.00 degrees
With the nearest neighbours (Å) after each atom.
Atoms (fractional coordinates):
La1 0.0000 0.0000 0.2213  1 La 3.33, 4 Hf 3.34, 4 Sm 3.57
La2 0.0000 0.0000 0.7787  1 La 3.33, 4 Hf 3.34, 4 Sm 3.57
Sm1 0.5000 0.5000 0.5000  8 La 3.57, 2 Hf 3.76
Hf1 0.5000 0.5000 0.0000  8 La 3.34

Summary:
Calculated density, g cm⁻³: 8.0
Crystal system: tetragonal
Magnetization, μB/cell: 0.0
Energy of formation from the pure elements, eV per atom: 0.21
Offset from the most stable computed form, meV/atom: 22
Fermi-level density of states, states/eV per cell: 4.12
Space-group type: P4/mmm (123)